(1)
! YGa2Rh2 (GGA-PBEsol, relaxed); values from VASP
! V ... 17.20 Å³/atom
! Calculated formation energy ... -0.81 eV/atom
! Symmetry ... No. 69
&SYSTEM
  ibrav = 0, nat = 5, ntyp = 3
/
ATOMIC_SPECIES
Ga 69.72 Ga.upf
Y 88.91 Y.upf
Rh 102.91 Rh.upf
ATOMIC_POSITIONS angstrom
Ga 0.0012 0.0012 3.7175
Y -2.0825 -2.0825 4.9460
Ga 2.0876 2.0876 1.2335
Rh 0.0027 2.0861 2.4755
Rh 2.0861 0.0027 2.4755
CELL_PARAMETERS angstrom
4.1684 0.0027 0.0026
0.0027 4.1684 0.0026
-2.0825 -2.0825 4.9461

***

(2)
! ZrTl2Br (GGA-PBEsol, relaxed); values from VASP
! V ... 24.48 Å³/atom
! Distance to the lowest polymorph of the same formula ... 386 meV per atom
! Symmetry ... No. 123
&SYSTEM
  ibrav = 0, nat = 4, ntyp = 3
/
ATOMIC_SPECIES
Tl 204.38 Tl.upf
Br 79.90 Br.upf
Zr 91.22 Zr.upf
ATOMIC_POSITIONS angstrom
Tl 0.0000 0.0000 6.3387
Br 1.7223 1.7223 4.1259
Zr 1.7223 1.7223 0.0000
Tl 0.0000 0.0000 1.9131
CELL_PARAMETERS angstrom
3.4445 0.0000 0.0000
0.0000 3.4445 0.0000
0.0000 0.0000 8.2518